Record 1
An optimized crystal structure of Cu2SbI5. Source: Alexandria via LeMat-Bulk, functional PBE-GGA.

Calculated values
energy relative to the elements, uncorrected: -0.179 eV per atom

Lattice parameters (Å, degrees): 7.144 7.440 7.849 94.75 116.28 112.45
Element x y z (fractional)
Cu1 0.000 0.000 0.000
Cu2 0.041 0.371 0.974
Sb1 0.304 0.410 0.495
I1 0.080 0.158 0.726
I2 0.364 0.084 0.365
I3 0.459 0.650 0.256
I4 0.782 0.157 0.110
I5 0.812 0.606 0.834

Record 2
An optimized crystal structure of LaNbTc2C. Source: Alexandria via LeMat-Bulk, functional PBE-GGA.

Calculated values
calculated formation energy: 2.236 eV per formula unit
DOS(E_F): 7.902 states/eV/f.u.

Lattice parameters (Å, degrees): 4.125 4.125 5.018 90.00 90.00 90.00
Element x y z (fractional)
La1 0.000 0.000 0.000
Nb1 0.500 0.500 0.000
Tc1 0.000 0.500 0.500
Tc2 0.500 0.000 0.500
C1 0.000 0.000 0.500

Record 3
An optimized crystal structure of SrCd2Te. Source: Alexandria via LeMat-Bulk, functional PBE-GGA.

Calculated values
DOS(E_F): 0.965 states/eV/f.u.
energy relative to the elements, uncorrected: -0.562 eV per atom

Lattice parameters (Å, degrees): 4.232 4.232 7.100 90.00 90.00 90.00
Element x y z (fractional)
Sr1 0.000 0.000 0.000
Cd1 0.000 0.000 0.528
Cd2 0.500 0.500 0.640
Te1 0.500 0.500 0.189

Record 4
An optimized crystal structure of NdNbGe2Os. Source: Alexandria via LeMat-Bulk, functional PBE-GGA.

Calculated values
calculated formation energy: -2.276 eV per formula unit
DOS(E_F): 2.987 states/eV/f.u.

Lattice parameters (Å, degrees): 6.446 6.446 6.446 142.80 142.80 53.63
Element x y z (fractional)
Nd1 0.000 0.000 0.000
Nb1 0.250 0.750 0.500
Ge1 0.388 0.388 0.000
Ge2 0.612 0.612 0.000
Os1 0.750 0.250 0.500

Record 5
An optimized crystal structure of TbPm2Ag. Source: Alexandria via LeMat-Bulk, functional PBE-GGA.

Calculated values
calculated formation energy: 0.011 eV per formula unit
DOS(E_F): 4.961 states/eV/f.u.
energy above the most stable polymorph in this dataset: 0.123 eV/atom

Lattice parameters (Å, degrees): 10.798 10.798 10.798 19.44 19.44 19.44
Element x y z (fractional)
Tb1 0.000 0.000 0.000
Pm1 0.242 0.242 0.242
Pm2 0.424 0.424 0.424
Ag1 0.832 0.832 0.832

Record 6
An optimized crystal structure of GaAsPBr2. Source: Alexandria via LeMat-Bulk, functional PBE-GGA.

Calculated values
DOS(E_F): 3.160 states/eV/f.u.
energy relative to the elements, uncorrected: 0.607 eV per atom
energy above the most stable polymorph in this dataset: 0.360 eV/atom

Lattice parameters (Å, degrees): 5.026 5.026 5.410 90.00 90.00 90.00
Element x y z (fractional)
Ga1 0.000 0.000 0.000
As1 0.000 0.000 0.500
P1 0.500 0.500 0.500
Br1 0.000 0.500 0.000
Br2 0.500 0.000 0.000

Record 7
An optimized crystal structure of Al2HgSe. Source: Alexandria via LeMat-Bulk, functional PBE-GGA.

Calculated values
DOS(E_F): 0.949 states/eV/f.u.
energy relative to the elements, uncorrected: -0.008 eV per atom

Lattice parameters (Å, degrees): 2.831 3.810 7.673 90.00 90.00 90.00
Element x y z (fractional)
Al1 0.000 0.000 0.246
Al2 0.000 0.000 0.754
Hg1 0.500 0.500 0.000
Se1 0.000 0.500 0.500

Record 8
An optimized crystal structure of Ac5Mg4Sn. Source: Alexandria via LeMat-Bulk, functional PBE-GGA.

Calculated values
calculated formation energy: -1.850 eV per formula unit
DOS(E_F): 10.018 states/eV/f.u.

Lattice parameters (Å, degrees): 4.118 4.118 20.564 90.00 90.00 90.00
Element x y z (fractional)
Ac1 0.000 0.000 0.000
Ac2 0.000 0.000 0.201
Ac3 0.000 0.000 0.402
Ac4 0.000 0.000 0.598
Ac5 0.000 0.000 0.799
Mg1 0.500 0.500 0.101
Mg2 0.500 0.500 0.298
Mg3 0.500 0.500 0.702
Mg4 0.500 0.500 0.899
Sn1 0.500 0.500 0.500

Record 9
An optimized crystal structure of Li2La2Sb2H. Source: Alexandria via LeMat-Bulk, functional PBE-GGA.

Calculated values
DOS(E_F): 3.021 states/eV/f.u.
E_tot: -31.6 eV/cell

Lattice parameters (Å, degrees): 8.647 8.647 8.647 149.68 149.68 43.41
Element x y z (fractional)
Li1 0.000 0.500 0.500
Li2 0.500 0.000 0.500
La1 0.162 0.162 0.000
La2 0.838 0.838 0.000
Sb1 0.371 0.371 0.000
Sb2 0.629 0.629 0.000
H1 0.000 0.000 0.000

Record 10
An optimized crystal structure of BSb2AuI. Source: Alexandria via LeMat-Bulk, functional PBE-GGA.

Calculated values
DOS(E_F): 5.577 states/eV/f.u.
energy relative to the elements, uncorrected: 1.451 eV per atom
energy above the most stable polymorph in this dataset: 0.578 eV/atom

Lattice parameters (Å, degrees): 5.377 5.377 5.793 90.00 90.00 90.00
Element x y z (fractional)
B1 0.000 0.000 0.000
Sb1 0.000 0.500 0.500
Sb2 0.500 0.000 0.500
Au1 0.500 0.500 0.500
I1 0.500 0.500 0.000

Record 11
An optimized crystal structure of Mg2InSnN4. Source: Alexandria via LeMat-Bulk, functional PBE-GGA.

Calculated values
DOS(E_F): 6.136 states/eV/f.u.
energy relative to the elements, uncorrected: -0.138 eV per atom

Lattice parameters (Å, degrees): 6.905 6.080 5.572 90.00 90.00 90.00
Element x y z (fractional)
Mg1 0.250 0.164 0.000
Mg2 0.250 0.836 0.500
Mg3 0.750 0.164 0.000
Mg4 0.750 0.836 0.500
In1 0.000 0.333 0.500
In2 0.500 0.667 0.000
Sn1 0.000 0.669 0.002
Sn2 0.500 0.331 0.502
N1 0.000 0.341 0.892
N2 0.000 0.673 0.377
N3 0.243 0.838 0.879
N4 0.257 0.162 0.379
N5 0.500 0.327 0.877
N6 0.500 0.659 0.392
N7 0.743 0.162 0.379
N8 0.757 0.838 0.879

Record 12
An optimized crystal structure of Li6HgPt. Source: Alexandria via LeMat-Bulk, functional PBE-GGA.

Calculated values
calculated formation energy: -1.866 eV per formula unit
DOS(E_F): 2.670 states/eV/f.u.
energy above the most stable polymorph in this dataset: 0.090 eV/atom

Lattice parameters (Å, degrees): 4.580 4.580 7.358 101.73 101.73 76.73
Element x y z (fractional)
Li1 0.030 0.547 0.179
Li2 0.115 0.115 0.394
Li3 0.453 0.970 0.821
Li4 0.547 0.030 0.179
Li5 0.885 0.885 0.606
Li6 0.970 0.453 0.821
Hg1 0.500 0.500 0.500
Pt1 0.000 0.000 0.000

Record 13
An optimized crystal structure of Tl2OsRu. Source: Alexandria via LeMat-Bulk, functional PBE-GGA.

Calculated values
calculated formation energy: 3.962 eV per formula unit
DOS(E_F): 3.926 states/eV/f.u.
energy above the most stable polymorph in this dataset: 0.495 eV/atom

Lattice parameters (Å, degrees): 3.057 3.057 9.151 90.00 90.00 118.69
Element x y z (fractional)
Tl1 0.000 0.000 0.247
Tl2 0.000 0.000 0.753
Os1 0.500 0.500 0.500
Ru1 0.500 0.500 0.000

Record 14
An optimized crystal structure of SbOsPt3. Source: Alexandria via LeMat-Bulk, functional PBE-GGA.

Calculated values
DOS(E_F): 4.407 states/eV/f.u.
energy relative to the elements, uncorrected: 1.111 eV per atom
energy above the most stable polymorph in this dataset: 0.000 eV/atom

Lattice parameters (Å, degrees): 4.843 4.843 4.843 90.00 90.00 90.00
Element x y z (fractional)
Sb1 0.000 0.000 0.000
Os1 0.500 0.500 0.500
Pt1 0.000 0.500 0.500
Pt2 0.500 0.000 0.500
Pt3 0.500 0.500 0.000

Record 15
An optimized crystal structure of HfNb2Tc. Source: Alexandria via LeMat-Bulk, functional PBE-GGA.

Calculated values
calculated formation energy: -0.659 eV per formula unit
DOS(E_F): 3.955 states/eV/f.u.
energy above the most stable polymorph in this dataset: 0.111 eV/atom

Lattice parameters (Å, degrees): 3.222 3.222 6.958 90.00 90.00 90.00
Element x y z (fractional)
Hf1 0.000 0.000 0.000
Nb1 0.500 0.500 0.275
Nb2 0.500 0.500 0.725
Tc1 0.000 0.000 0.500

Record 16
An optimized crystal structure of LaTlCl. Source: Alexandria via LeMat-Bulk, functional PBE-GGA.

Calculated values
DOS(E_F): 3.009 states/eV/f.u.
energy relative to the elements, uncorrected: -0.709 eV per atom
energy above the most stable polymorph in this dataset: 0.216 eV/atom

Lattice parameters (Å, degrees): 5.021 5.021 5.021 60.00 60.00 60.00
Element x y z (fractional)
La1 0.000 0.000 0.000
Tl1 0.500 0.500 0.500
Cl1 0.750 0.750 0.750

Record 17
An optimized crystal structure of CsSrAuF2. Source: Alexandria via LeMat-Bulk, functional PBE-GGA.

Calculated values
DOS(E_F): 0.000 states/eV/f.u.
energy relative to the elements, uncorrected: -2.299 eV per atom
energy above the most stable polymorph in this dataset: 0.000 eV/atom

Lattice parameters (Å, degrees): 4.876 4.876 6.313 90.00 90.00 90.00
Element x y z (fractional)
Cs1 0.000 0.000 0.000
Sr1 0.500 0.500 0.500
Au1 0.500 0.500 0.000
F1 0.000 0.500 0.500
F2 0.500 0.000 0.500

Record 18
An optimized crystal structure of Pu2CuGe. Source: Alexandria via LeMat-Bulk, functional PBE-GGA.

Calculated values
calculated formation energy: 1.247 eV per formula unit
DOS(E_F): 10.574 states/eV/f.u.

Lattice parameters (Å, degrees): 10.965 10.965 10.965 15.47 15.47 15.47
Element x y z (fractional)
Pu1 0.087 0.087 0.087
Pu2 0.913 0.913 0.913
Cu1 0.000 0.000 0.000
Ge1 0.500 0.500 0.500

Record 19
An optimized crystal structure of LiFeOsBr2. Source: Alexandria via LeMat-Bulk, functional PBE-GGA.

Calculated values
DOS(E_F): 4.938 states/eV/f.u.
energy relative to the elements, uncorrected: 1.242 eV per atom

Lattice parameters (Å, degrees): 4.644 4.644 4.973 90.00 90.00 90.00
Element x y z (fractional)
Li1 0.000 0.000 0.000
Fe1 0.500 0.500 0.500
Os1 0.000 0.000 0.500
Br1 0.000 0.500 0.000
Br2 0.500 0.000 0.000

Record 20
An optimized crystal structure of HW2Br2. Source: Alexandria via LeMat-Bulk, functional PBE-GGA.

Calculated values
DOS(E_F): 3.041 states/eV/f.u.
energy above the most stable polymorph in this dataset: 0.000 eV/atom

Lattice parameters (Å, degrees): 8.278 8.278 8.278 154.48 154.48 36.40
Element x y z (fractional)
H1 0.000 0.000 0.000
W1 0.250 0.750 0.500
W2 0.750 0.250 0.500
Br1 0.391 0.391 0.000
Br2 0.609 0.609 0.000

Record 21
An optimized crystal structure of BeAgS. Source: Alexandria via LeMat-Bulk, functional PBE-GGA.

Calculated values
DOS(E_F): 0.493 states/eV/f.u.
energy relative to the elements, uncorrected: -0.221 eV per atom

Lattice parameters (Å, degrees): 6.408 6.408 6.408 145.23 137.17 56.31
Element x y z (fractional)
Be1 0.250 0.000 0.250
Be2 0.750 0.000 0.750
Ag1 0.380 0.380 0.000
Ag2 0.620 0.620 0.000
S1 0.146 0.146 0.000
S2 0.854 0.854 0.000

Record 22
An optimized crystal structure of CdIn2W. Source: Alexandria via LeMat-Bulk, functional PBE-GGA.

Calculated values
calculated formation energy: 1.998 eV per formula unit
DOS(E_F): 1.986 states/eV/f.u.

Lattice parameters (Å, degrees): 2.951 5.287 5.226 90.00 90.00 90.00
Element x y z (fractional)
Cd1 0.000 0.000 0.000
In1 0.000 0.500 0.698
In2 0.500 0.000 0.483
W1 0.500 0.500 0.201

| no. | ρ (g/cm³) |
| --- | --- |
| 1 | 4.45 |
| 2 | 8.55 |
| 3 | 5.75 |
| 4 | 9.77 |
| 5 | 7.58 |
| 6 | 4.08 |
| 7 | 6.69 |
| 8 | 6.43 |
| 9 | 5.42 |
| 10 | 5.73 |
| 11 | 4.80 |
| 12 | 5.00 |
| 13 | 15.50 |
| 14 | 13.12 |
| 15 | 10.63 |
| 16 | 7.03 |
| 17 | 5.04 |
| 18 | 12.68 |
| 19 | 6.39 |
| 20 | 8.35 |
| 21 | 4.88 |
| 22 | 10.71 |